Compound: Nb2Co2O5
Source: OQMD
Functional: PBE with a Hubbard U
Structure: relaxed

abc: 3.736 3.736 6.136
angles: 90.00 90.00 90.00
Positions (direct):
Nb  0.000  0.000  0.000
Nb  0.000  0.000  0.500
Co  0.500  0.500  0.190
Co  0.500  0.500  0.810
O  0.000  0.500  0.220
O  0.000  0.500  0.780
O  0.500  0.000  0.220
O  0.500  0.000  0.780
O  0.500  0.500  0.500

Values from the calculation:
volume = 86 Å³/cell
space group = P4/mmm, No. 123
energy above the most stable polymorph in this dataset = 447 meV per atom